Compound: Sr2I2O
Source: Alexandria via LeMat-Bulk
Functional: PBE-GGA
Structure: relaxed

**VASP energy**: -4.40 eV per atom
**Calculated volume**: 33.3 Å³/atom
**Formation energy without anion corrections**: -2112 meV per atom
**Spin magnetization**: 0.00 μB per atom

Cell lengths 14.9949, 4.2561, 12.5623 Å; angles 90.00, 123.83, 90.00 degrees
With the nearest neighbours (Å) after each atom.
Space group C2/m (No. 12)
Unique sites:
1 Sr 0.0453 0.0000 0.1883 (multiplicity 4)  1 O 2.28
2 Sr 0.1938 0.0000 0.5661 (multiplicity 4)  3 O 2.42-2.47
3 I 0.0340 0.5000 0.6745 (multiplicity 4)  4 Sr 3.35-3.72
4 I 0.1566 0.5000 0.0843 (multiplicity 4)  5 Sr 3.38-3.73
5 O 0.2064 0.0000 0.3820 (multiplicity 4)  4 Sr 2.28-2.47

---

Compound: KRbPO2
Source: Alexandria via LeMat-Bulk
Functional: PBE-GGA
Structure: relaxed

**Energy above the lowest structure with this stoichiometry**: 85 meV/atom
**VASP energy**: -2.93 eV per atom
**Calculated volume**: 33.9 Å³/atom
**Formation energy without anion corrections**: 544 meV per atom
**Spin magnetization**: 1.00 μB per atom

Cell lengths 5.1890, 5.1890, 6.3020 Å; angles 90.00, 90.00, 90.00 degrees
With the nearest neighbours (Å) after each atom.
Space group P4/mmm (No. 123)
Unique sites:
1 K 0.0000 0.0000 0.0000 (multiplicity 1)  4 P 3.67, 8 O 4.08
2 Rb 0.5000 0.5000 0.5000 (multiplicity 1)  4 O 2.59
3 P 0.5000 0.5000 0.0000 (multiplicity 1)  2 Rb 3.15
4 O 0.0000 0.5000 0.5000 (multiplicity 2)  2 Rb 2.59

---

Compound: Li2TiNiAs
Source: Alexandria via LeMat-Bulk
Functional: PBE-GGA
Structure: relaxed

**VASP energy**: -4.13 eV per atom
**E_form**: 1.5 eV per formula unit
**Calculated volume**: 16.9 Å³/atom
**Spin magnetization**: 0.00 μB per atom

Cell lengths 4.4322, 4.4322, 4.3122 Å; angles 90.00, 90.00, 90.00 degrees
With the nearest neighbours (Å) after each atom.
Space group P4/mmm (No. 123)
Unique sites:
1 Li 0.0000 0.5000 0.0000 (multiplicity 2)  2 As 2.22
2 Ti 0.0000 0.0000 0.5000 (multiplicity 1)  8 Li 3.09, 4 Ni 3.13
3 Ni 0.5000 0.5000 0.5000 (multiplicity 1)  2 As 2.16
4 As 0.5000 0.5000 0.0000 (multiplicity 1)  2 Ni 2.16, 4 Li 2.22

---

Compound: POs2Pt
Source: Alexandria via LeMat-Bulk
Functional: PBE-GGA
Structure: relaxed

**VASP energy**: -7.92 eV per atom
**E_form**: 2.2 eV per formula unit
**Calculated volume**: 14.8 Å³/atom
**Spin magnetization**: 0.00 μB per atom

Cell lengths 5.3043, 9.4606, 2.7440 Å; angles 90.00, 120.55, 90.00 degrees
With the nearest neighbours (Å) after each atom.
Space group C2/m (No. 12)
Unique sites:
1 P 0.0000 0.0000 0.0000 (multiplicity 2)  4 Pt 2.65-2.68, 4 Os 2.72, 2 P 2.74
2 Os 0.2500 0.2500 0.5000 (multiplicity 4)  6 Os 2.65-2.74, 2 Pt 2.72, 2 P 2.72
3 Pt 0.0000 0.5000 0.0000 (multiplicity 2)  4 P 2.65-2.68, 4 Os 2.72, 2 Pt 2.74

---

Compound: Tl2BCl5
Source: Alexandria via LeMat-Bulk
Functional: PBE-GGA
Structure: relaxed

**VASP energy**: -3.52 eV per atom
**Calculated volume**: 36.4 Å³/atom
**Formation energy without anion corrections**: -939 meV per atom
**Spin magnetization**: 0.00 μB per atom

Cell lengths 6.3173, 6.3259, 8.5119 Å; angles 111.28, 111.07, 91.05 degrees
With the nearest neighbours (Å) after each atom.
Space group P1 (No. 1)
Unique sites:
1 Tl 0.0000 0.0000 0.0000 (multiplicity 1)  4 Cl 3.16-3.17
2 Tl 0.4910 0.4911 0.9820 (multiplicity 1)  4 Cl 3.15-3.17
3 B 0.2461 0.7458 0.4910 (multiplicity 1)  3 Cl 1.74-1.75
4 Cl 0.3174 0.4805 0.4913 (multiplicity 1)  1 B 1.75
5 Cl 0.4420 0.9425 0.4892 (multiplicity 1)  1 B 1.75
6 Cl 0.4926 0.9918 0.9860 (multiplicity 1)  4 Tl 3.15-3.17
7 Cl 0.9806 0.8151 0.4923 (multiplicity 1)  1 B 1.74
8 Cl 0.9976 0.4967 0.9954 (multiplicity 1)  4 Tl 3.16-3.17

---

Compound: CaTeOs2C
Source: Alexandria via LeMat-Bulk
Functional: PBE-GGA
Structure: relaxed

**VASP energy**: -4.67 eV per atom
**Calculated volume**: 27.2 Å³/atom
**Formation energy without anion corrections**: 2691 meV per atom
**Spin magnetization**: 0.44 μB per atom

Cell lengths 4.8128, 4.8128, 5.8773 Å; angles 90.00, 90.00, 90.00 degrees
With the nearest neighbours (Å) after each atom.
Space group P4/mmm (No. 123)
Unique sites:
1 Ca 0.0000 0.0000 0.0000 (multiplicity 1)  2 Te 2.94
2 Te 0.0000 0.0000 0.5000 (multiplicity 1)  4 Os 2.41
3 Os 0.0000 0.5000 0.5000 (multiplicity 2)  2 Te 2.41
4 C 0.5000 0.5000 0.0000 (multiplicity 1)  4 Ca 3.40, 8 Os 3.80

---

Copy entry 1 word for word.
Compound: Sr2I2O
Source: Alexandria via LeMat-Bulk
Functional: PBE-GGA
Structure: relaxed

**VASP energy**: -4.40 eV per atom
**Calculated volume**: 33.3 Å³/atom
**Formation energy without anion corrections**: -2112 meV per atom
**Spin magnetization**: 0.00 μB per atom

Cell lengths 14.9949, 4.2561, 12.5623 Å; angles 90.00, 123.83, 90.00 degrees
With the nearest neighbours (Å) after each atom.
Space group C2/m (No. 12)
Unique sites:
1 Sr 0.0453 0.0000 0.1883 (multiplicity 4)  1 O 2.28
2 Sr 0.1938 0.0000 0.5661 (multiplicity 4)  3 O 2.42-2.47
3 I 0.0340 0.5000 0.6745 (multiplicity 4)  4 Sr 3.35-3.72
4 I 0.1566 0.5000 0.0843 (multiplicity 4)  5 Sr 3.38-3.73
5 O 0.2064 0.0000 0.3820 (multiplicity 4)  4 Sr 2.28-2.47

---

Q: The lowest VASP energy belongs to which entry?
A: POs2Pt

---

Q: Look up the spin magnetization of the sixth one.
A: 0.44 μB per atom